AcPrOsI: relaxed, PBE.

Computed properties:
Raw total energy: -5.906 eV per atom
Formation energy without anion corrections: -490 meV per atom

a = 4.2982 Å, b = 4.2982 Å, c = 25.2691 Å
α = 90.00°, β = 90.00°, γ = 120.00°
Space group R3m (No. 160, hexagonal axes)
Asymmetric unit:
1 Ac 0.0000 0.0000 0.0000 [3 per cell]
2 Pr 0.0000 0.0000 0.7891 [3 per cell]
3 Os 0.0000 0.0000 0.3970 [3 per cell]
4 I 0.0000 0.0000 0.2225 [3 per cell]



Sm2PaGe3Rh4: relaxed, PBE.

Computed properties:
Raw total energy: -7.072 eV per atom

a = 4.2524 Å, b = 4.2524 Å, c = 10.9210 Å
α = 90.00°, β = 90.00°, γ = 90.00°
Space group P-4m2 (No. 115)
Asymmetric unit:
1 Sm 0.0000 0.5000 0.2222 [2 per cell]
2 Pa 0.0000 0.0000 0.5000 [1 per cell]
3 Ge 0.0000 0.5000 0.8762 [2 per cell]
4 Ge 0.5000 0.5000 0.5000 [1 per cell]
5 Rh 0.0000 0.0000 0.0000 [1 per cell]
6 Rh 0.0000 0.5000 0.6495 [2 per cell]
7 Rh 0.5000 0.5000 0.0000 [1 per cell]



CdRuBr2: relaxed, PBE.

Computed properties:
Energy relative to the lowest polymorph listed for this composition: 0.322 eV/atom
Raw total energy: -3.095 eV per atom
Formation energy without anion corrections: 290 meV per atom

a = 3.4164 Å, b = 7.2030 Å, c = 9.4590 Å
α = 90.00°, β = 90.00°, γ = 90.00°
Space group Imm2 (No. 44)
Asymmetric unit:
1 Cd 0.0000 0.0000 0.0000 [2 per cell]
2 Ru 0.0000 0.5000 0.7365 [2 per cell]
3 Br 0.0000 0.0000 0.4199 [2 per cell]
4 Br 0.0000 0.5000 0.2723 [2 per cell]



LiDyGaPd: relaxed, PBE.

Computed properties:
Raw total energy: -4.288 eV per atom

a = 6.5987 Å, b = 6.5987 Å, c = 6.5987 Å
α = 90.00°, β = 90.00°, γ = 90.00°
Space group F-43m (No. 216)
Asymmetric unit:
1 Li 0.0000 0.0000 0.0000 [4 per cell]
2 Dy 0.2500 0.2500 0.2500 [4 per cell]
3 Ga 0.2500 0.2500 0.7500 [4 per cell]
4 Pd 0.0000 0.0000 0.5000 [4 per cell]



La6Pm3Sm: relaxed, PBE.

Computed properties:
Energy relative to the lowest polymorph listed for this composition: 0.075 eV/atom
Raw total energy: -4.667 eV per atom

a = 10.1589 Å, b = 10.1589 Å, c = 12.2467 Å
α = 90.00°, β = 90.00°, γ = 120.00°
Space group R3 (No. 146, hexagonal axes)
Asymmetric unit:
1 La 0.0024 0.6771 0.0000 [9 per cell]
2 La 0.0028 0.3254 0.5003 [9 per cell]
3 Pm 0.0000 0.0000 0.0030 [3 per cell]
4 Pm 0.0000 0.0000 0.2513 [3 per cell]
5 Pm 0.0000 0.0000 0.5032 [3 per cell]
6 Sm 0.0000 0.0000 0.7514 [3 per cell]



Th7Tl2In2: relaxed, PBE.

Computed properties:
Raw total energy: -5.682 eV per atom

a = 4.9130 Å, b = 15.8505 Å, c = 8.7730 Å
α = 90.00°, β = 90.00°, γ = 90.00°
Space group Imm2 (No. 44)
Asymmetric unit:
1 Th 0.0000 0.0000 0.0000 [2 per cell]
2 Th 0.0000 0.1489 0.6420 [4 per cell]
3 Th 0.0000 0.3412 0.3905 [4 per cell]
4 Th 0.0000 0.3691 0.8232 [4 per cell]
5 Tl 0.0000 0.2079 0.1026 [4 per cell]
6 In 0.0000 0.0000 0.3796 [2 per cell]
7 In 0.0000 0.5000 0.1469 [2 per cell]



B: relaxed, PBE.

Computed properties:
Energy relative to the lowest polymorph listed for this composition: 0.179 eV/atom
Raw total energy: -6.499 eV per atom

a = 3.5516 Å, b = 4.6293 Å, c = 5.2771 Å
α = 90.00°, β = 96.74°, γ = 90.00°
Space group C2/m (No. 12)
Asymmetric unit:
1 B 0.0337 0.0000 0.1606 [4 per cell]
2 B 0.1355 0.3006 0.6548 [8 per cell]



LiSe: relaxed, PBE.

Computed properties:
Energy relative to the lowest polymorph listed for this composition: 0.019 eV/atom
Raw total energy: -3.589 eV per atom
Formation energy without anion corrections: -890 meV per atom

a = 7.4760 Å, b = 4.2029 Å, c = 5.2029 Å
α = 90.00°, β = 91.03°, γ = 90.00°
Space group Cm (No. 8)
Asymmetric unit:
1 Li 0.0000 0.0000 0.0000 [2 per cell]
2 Li 0.2307 0.5000 0.4972 [2 per cell]
3 Se 0.3211 0.0000 0.7958 [2 per cell]
4 Se 0.4044 0.0000 0.2959 [2 per cell]